Here is a relaxed NdAsPt6 crystal from Alexandria. Energies are from GGA-PBE.

a b c (Å): 5.4790 5.4790 7.2428
angles (deg): 67.78 67.78 60.00
Closest atoms and distances in Å follow each position.
Fractional coordinates of all 8 atoms:
1 Nd 0.5000 0.5000 0.5000  12 Pt 3.08
2 As 0.0000 0.0000 0.0000  6 Pt 2.46
3 Pt 0.9240 0.9240 0.7160  1 As 2.46, 2 Pt 2.67
4 Pt 0.4360 0.9240 0.7160  1 As 2.46, 2 Pt 2.67
5 Pt 0.0760 0.5640 0.2840  1 As 2.46, 2 Pt 2.67
6 Pt 0.5640 0.0760 0.2840  1 As 2.46, 2 Pt 2.67
7 Pt 0.0760 0.0760 0.2840  1 As 2.46, 2 Pt 2.67
8 Pt 0.9240 0.4360 0.7160  1 As 2.46, 2 Pt 2.67

Results
- D(E_F): 4.3 states/eV per cell
- SG: R-3m (166)
- Energy of formation from the pure elements: -405 meV/atom